A relaxed structure of Ca2LaMgPt. Source: the Alexandria database, functional GGA-PBEsol.

Structure (POSCAR):
```
Ca2LaMgPt
1.0
-0.666 -4.747 1.574
2.466 -1.965 -4.885
5.209 0.124 2.580
Ca Pt La Mg
2 1 1 1
Cartesian
2.604 0.062 1.290
1.233 -0.983 -2.442
-0.333 -2.374 0.787
0.000 0.000 0.000
3.505 -3.294 -0.365
```

Output
DFT formation energy, eV per atom: 0.61
Calculated total energy, hartree per atom: -0.1122
Symmetry: P4/mmm
Calculated volume, Å³/atom: 34.1
Magnetization, μB/f.u.: 0.0

=====

A relaxed structure of CaLaMg2Ru. Source: the Alexandria database, functional GGA-PBEsol.

Structure (POSCAR):
```
CaLaMg2Ru
1.0
5.504 0.000 0.000
0.000 5.504 0.000
0.000 0.000 5.486
Ru Mg La Ca
1 2 1 1
Cartesian
2.752 2.752 2.743
0.000 2.752 0.000
2.752 0.000 0.000
0.000 0.000 0.000
0.000 0.000 2.743
```

Output
DFT formation energy, eV per atom: 2.02
Calculated total energy, hartree per atom: -0.0809
Symmetry: P4/mmm
Calculated volume, Å³/atom: 33.2
Magnetization, μB/f.u.: 3.4

=====

A relaxed structure of CaLa2MnO6. Source: the Alexandria database, functional GGA-PBEsol.

Structure (POSCAR):
```
CaLa2MnO6
1.0
5.554 -0.017 -0.012
2.579 4.918 -0.012
2.579 1.554 4.666
O La Mn Ca
6 2 1 1
Cartesian
5.154 5.293 3.166
3.624 2.791 3.674
6.552 2.367 4.010
5.559 1.162 1.476
4.161 4.088 0.632
7.088 3.665 0.967
2.578 1.553 1.117
8.135 4.902 3.525
0.000 0.000 0.000
5.356 3.228 2.321
```

Output
Calculated total energy, hartree per atom: -0.3052
Symmetry: R-3
Calculated volume, Å³/atom: 12.8
Magnetization, μB/f.u.: 3.0
Formation energy from raw total energies, eV/atom: -2.898

=====

A relaxed structure of Ca3LaMn4O12. Source: the Alexandria database, functional GGA-PBEsol.

Structure (POSCAR):
```
Ca3LaMn4O12
1.0
-5.086 -0.776 -1.302
1.514 -2.735 -4.309
-0.058 -6.338 4.003
La O Mn Ca
1 12 4 3
Cartesian
-5.027 -0.843 -1.407
-3.974 -5.281 -1.400
-2.906 -3.674 1.160
-2.834 -7.679 -1.268
-0.366 -4.006 -2.309
-2.802 -4.147 -3.499
0.409 -1.422 -2.245
-0.390 -6.697 -0.610
-0.797 -5.281 1.670
-3.261 -6.335 1.005
-0.772 -2.551 -0.055
-0.773 -3.041 -4.825
-3.228 -2.666 -1.312
-2.556 -2.007 0.366
-4.342 -3.755 -2.437
-2.584 -5.112 2.327
-4.371 -6.868 -0.471
-1.768 -1.860 -2.970
1.389 -5.803 -2.149
-1.826 -4.827 -0.650
```

Output
Calculated total energy, hartree per atom: -0.2980
Symmetry: Pm
Calculated volume, Å³/atom: 10.6
Magnetization, μB/f.u.: 12.9
Formation energy from raw total energies, eV/atom: -2.420

=====

A relaxed structure of CaLaMnRuO6. Source: the Alexandria database, functional GGA-PBEsol.

Structure (POSCAR):
```
CaLaMnRuO6
1.0
-0.985 5.275 0.329
-5.081 -0.836 -1.812
-2.414 -0.915 7.192
O Mn La Ca Ru
12 2 2 2 2
Cartesian
-4.625 3.372 2.572
-3.878 0.657 3.189
-6.419 -0.220 2.193
-7.395 -0.536 5.256
-6.301 1.678 4.234
-2.042 3.322 3.479
-1.858 -0.050 1.451
-4.740 1.352 0.552
-3.682 3.667 -0.427
-4.033 3.927 5.171
-4.956 0.340 6.140
-0.954 3.657 0.455
-2.477 -0.663 3.150
-4.309 2.013 -1.189
-5.427 -1.240 4.106
-2.573 2.207 1.438
-5.650 4.317 0.674
-3.301 1.726 5.197
-5.499 1.560 2.398
-3.691 -1.121 6.729
```

Output
Calculated total energy, hartree per atom: -0.2999
Symmetry: Pc
Calculated volume, Å³/atom: 11.2
Magnetization, μB/f.u.: 4.1
Formation energy from raw total energies, eV/atom: -2.271

=====

A relaxed structure of CaLaTiMnO6. Source: the Alexandria database, functional GGA-PBEsol.

Structure (POSCAR):
```
CaLaTiMnO6
1.0
5.382 0.000 0.031
0.000 5.395 0.000
-0.036 0.000 7.605
Ti O La Ca Mn
2 12 2 2 2
Cartesian
2.672 1.347 3.813
5.345 4.048 7.631
1.129 2.529 3.549
4.187 0.134 4.047
1.178 2.506 0.268
3.802 2.866 7.367
1.463 5.223 3.590
5.075 4.107 1.954
4.136 0.172 7.408
3.033 1.388 1.895
3.851 2.889 4.086
0.324 4.007 5.682
1.514 5.261 0.229
2.366 1.288 5.741
2.661 3.919 1.912
5.334 1.476 5.730
2.697 4.231 5.725
0.024 1.164 1.907
2.689 1.356 0.018
5.362 4.039 3.836
```

Output
Calculated total energy, hartree per atom: -0.3164
Symmetry: Pc
Calculated volume, Å³/atom: 11.0
Magnetization, μB/f.u.: 2.0
Formation energy from raw total energies, eV/atom: -2.904

=====

A relaxed structure of Ca4LaMo. Source: the Alexandria database, functional GGA-PBEsol.

Structure (POSCAR):
```
Ca4LaMo
1.0
-2.784 -5.978 -0.368
3.701 -5.285 -1.413
1.233 -4.511 4.665
Mo Ca La
1 4 1
Cartesian
0.000 0.000 0.000
1.425 -8.172 3.424
0.805 -5.905 1.079
2.665 -8.562 0.369
-0.595 -8.910 0.894
1.612 -11.831 2.162
```

Output
DFT formation energy, eV per atom: 0.94
Calculated total energy, hartree per atom: -0.1225
Symmetry: F-43m
Calculated volume, Å³/atom: 34.0
Magnetization, μB/f.u.: 3.0

=====

A relaxed structure of CaLa2Mo. Source: the Alexandria database, functional GGA-PBEsol.

Structure (POSCAR):
```
CaLa2Mo
1.0
-0.991 -2.193 -2.691
-0.778 -4.002 3.549
-4.672 4.778 0.247
La Ca Mo
2 1 1
Cartesian
-3.974 -0.044 -0.922
-0.065 0.019 0.008
-2.670 -1.311 2.052
-5.287 1.599 0.644
```

Output
DFT formation energy, eV per atom: 0.44
Calculated total energy, hartree per atom: -0.2099
Symmetry: Imm2
Offset from the most stable computed form, meV/atom: 0
Calculated volume, Å³/atom: 28.5
Magnetization, μB/f.u.: 0.0